Entry 1:
VASP calculation (PBE-GGA) on a relaxed structure of Sr4Pa3CrN8.

Lattice parameters (Å, degrees): 7.2030 7.2030 7.1607 118.89 118.89 57.89
With the nearest neighbours (Å) after each atom.
Element x y z (fractional)
Sr 0.0000 0.0000 0.0000  6 N 2.54-2.72
Sr 0.0000 0.5000 0.0000  6 N 2.68-2.86
Sr 0.5000 0.0000 0.0000  6 N 2.68-2.86
Sr 0.5000 0.5000 0.0000  6 N 2.72-2.83
Pa 0.0000 0.0000 0.5000  6 N 2.32-2.44
Pa 0.0000 0.5000 0.5000  6 N 2.27-2.42
Pa 0.5000 0.0000 0.5000  6 N 2.27-2.42
Cr 0.5000 0.5000 0.5000  4 N 2.31
N 0.2296 0.7290 0.6905  1 Cr 2.31, 2 Pa 2.32-2.42
N 0.2319 0.2319 0.7000  3 Pa 2.35-2.44
N 0.2384 0.2384 0.2858  2 Pa 2.27, 1 Sr 2.54
N 0.2710 0.7704 0.3095  1 Cr 2.31, 2 Pa 2.32-2.42
N 0.7290 0.2296 0.6905  1 Cr 2.31, 2 Pa 2.32-2.42
N 0.7616 0.7616 0.7142  2 Pa 2.27, 1 Sr 2.54
N 0.7681 0.7681 0.3000  3 Pa 2.35-2.44
N 0.7704 0.2710 0.3095  1 Cr 2.31, 2 Pa 2.32-2.42

Formation energy from raw total energies, eV/atom: -1.1262
Spin magnetization, μB/cell: 3.3
Volume, Å³/atom: 16.400
Final energy, eV/atom: -8.091
Space group: C2/m

Entry 2:
VASP calculation (PBE-GGA) on a relaxed structure of AlTe2Br.

Lattice parameters (Å, degrees): 6.3740 6.3740 6.3740 144.69 104.17 86.52
With the nearest neighbours (Å) after each atom.
Element x y z (fractional)
Al 0.0000 0.0000 0.0000  2 Br 2.58, 2 Te 2.84
Te 0.5443 0.5443 0.0000  2 Te 2.89
Te 0.7752 0.2752 0.5000  2 Al 2.84, 2 Te 2.89
Br 0.1843 0.6843 0.5000  2 Al 2.58

Energy above the most stable polymorph in this dataset, kJ/mol of formula units: 135
Formation energy from raw total energies, eV/atom: -0.0279
Spin magnetization, μB/cell: 0.0
Volume, Å³/atom: 35.153
Final energy, eV/atom: -2.953
Space group: Imm2

Entry 3:
VASP calculation (PBE-GGA) on a relaxed structure of Dy5GaTe5.

Lattice parameters (Å, degrees): 7.5291 7.5291 8.6140 107.03 107.03 47.98
With the nearest neighbours (Å) after each atom.
Element x y z (fractional)
Dy 0.0000 0.0000 0.0000  2 Ga 3.06, 4 Te 3.09-3.10
Dy 0.3420 0.3420 0.6789  1 Ga 2.92, 5 Te 3.04-3.12
Dy 0.3429 0.3429 0.1610  1 Ga 2.92, 5 Te 3.03-3.15
Dy 0.6571 0.6571 0.8390  1 Ga 2.92, 5 Te 3.03-3.15
Dy 0.6580 0.6580 0.3211  1 Ga 2.92, 5 Te 3.04-3.12
Ga 0.5000 0.5000 0.0000  6 Dy 2.92-3.06
Te 0.1648 0.1648 0.8271  5 Dy 3.07-3.12
Te 0.1737 0.1737 0.3352  5 Dy 3.07-3.15
Te 0.5000 0.5000 0.5000  4 Dy 3.03-3.04
Te 0.8263 0.8263 0.6648  5 Dy 3.07-3.15
Te 0.8352 0.8352 0.1729  5 Dy 3.07-3.12

Formation energy from raw total energies, eV/atom: -1.2463
Spin magnetization, μB/cell: 0.0
Volume, Å³/atom: 31.238
Final energy, eV/atom: -5.041
Space group: C2/m

Entry 4:
VASP calculation (PBE-GGA) on a relaxed structure of Th6CuSe3S2.

Lattice parameters (Å, degrees): 7.0922 7.0922 7.3931 99.10 99.10 119.99
With the nearest neighbours (Å) after each atom.
Element x y z (fractional)
Th 0.0865 0.4223 0.7694  2 S 2.85-2.86, 1 Cu 2.88, 3 Se 3.03
Th 0.2409 0.2409 0.2298  2 S 2.86, 1 Cu 2.87, 3 Se 3.01-3.02
Th 0.4223 0.0865 0.7694  2 S 2.85-2.86, 1 Cu 2.88, 3 Se 3.03
Th 0.5777 0.9135 0.2306  2 S 2.85-2.86, 1 Cu 2.88, 3 Se 3.03
Th 0.7591 0.7591 0.7702  2 S 2.86, 1 Cu 2.87, 3 Se 3.01-3.02
Th 0.9135 0.5777 0.2306  2 S 2.85-2.86, 1 Cu 2.88, 3 Se 3.03
Cu 0.5000 0.5000 0.0000  6 Th 2.87-2.88
Se 0.0000 0.0000 0.5000  6 Th 3.01-3.03
Se 0.3356 0.6644 0.5000  6 Th 3.02-3.03
Se 0.6644 0.3356 0.5000  6 Th 3.02-3.03
S 0.1671 0.8329 0.0000  6 Th 2.85-2.86
S 0.8329 0.1671 0.0000  6 Th 2.85-2.86

Formation energy from raw total energies, eV/atom: -1.3930
Spin magnetization, μB/cell: 0.0
Volume, Å³/atom: 25.465
Final energy, eV/atom: -7.003
Space group: C2/m

Entry 5:
VASP calculation (PBE-GGA) on a relaxed structure of Zn2Ge2Sb.

Lattice parameters (Å, degrees): 8.0806 8.0806 3.0203 90.00 90.00 90.00
With the nearest neighbours (Å) after each atom.
Element x y z (fractional)
Zn 0.1629 0.3371 0.0000  6 Ge 2.80-2.83, 2 Zn 3.02, 2 Sb 3.03
Zn 0.3371 0.8371 0.0000  6 Ge 2.80-2.83, 2 Zn 3.02, 2 Sb 3.03
Zn 0.6629 0.1629 0.0000  6 Ge 2.80-2.83, 2 Zn 3.02, 2 Sb 3.03
Zn 0.8371 0.6629 0.0000  6 Ge 2.80-2.83, 2 Zn 3.02, 2 Sb 3.03
Ge 0.1309 0.6309 0.5000  6 Zn 2.80-2.83, 3 Ge 2.99-3.02
Ge 0.3691 0.1309 0.5000  6 Zn 2.80-2.83, 3 Ge 2.99-3.02
Ge 0.6309 0.8691 0.5000  6 Zn 2.80-2.83, 3 Ge 2.99-3.02
Ge 0.8691 0.3691 0.5000  6 Zn 2.80-2.83, 3 Ge 2.99-3.02
Sb 0.0000 0.0000 0.0000  2 Sb 3.02, 4 Zn 3.03
Sb 0.5000 0.5000 0.0000  2 Sb 3.02, 4 Zn 3.03

Energy above the most stable polymorph in this dataset, kJ/mol of formula units: 0
Formation energy from raw total energies, eV/atom: 0.2121
Spin magnetization, μB/cell: 0.0
Volume, Å³/atom: 19.721
Final energy, eV/atom: -2.969
Space group: P4/mbm

Entry 6:
VASP calculation (PBE-GGA) on a relaxed structure of Sc2SnP2.

Lattice parameters (Å, degrees): 7.4179 7.4179 3.4987 90.00 90.00 90.00
With the nearest neighbours (Å) after each atom.
Element x y z (fractional)
Sc 0.1505 0.3495 0.0000  6 P 2.75-2.81
Sc 0.3495 0.8495 0.0000  6 P 2.75-2.81
Sc 0.6505 0.1505 0.0000  6 P 2.75-2.81
Sc 0.8495 0.6505 0.0000  6 P 2.75-2.81
Sn 0.0000 0.0000 0.5000  4 P 2.84
Sn 0.5000 0.5000 0.5000  4 P 2.84
P 0.1468 0.6468 0.5000  6 Sc 2.75-2.81, 2 Sn 2.84, 1 P 3.08
P 0.3532 0.1468 0.5000  6 Sc 2.75-2.81, 2 Sn 2.84, 1 P 3.08
P 0.6468 0.8532 0.5000  6 Sc 2.75-2.81, 2 Sn 2.84, 1 P 3.08
P 0.8532 0.3532 0.5000  6 Sc 2.75-2.81, 2 Sn 2.84, 1 P 3.08

Energy above the most stable polymorph in this dataset, kJ/mol of formula units: 0
ΔE_f, meV per atom: -827
Spin magnetization, μB/cell: 0.0
Volume, Å³/atom: 19.251
Final energy, eV/atom: -6.324
Space group: P4/mbm

Entry 7:
VASP calculation (PBE-GGA) on a relaxed structure of PmPrErRu.

Lattice parameters (Å, degrees): 5.2676 5.2676 5.2676 60.00 60.00 60.00
With the nearest neighbours (Å) after each atom.
Element x y z (fractional)
Pm 0.0000 0.0000 0.0000  4 Ru 3.23, 4 Er 3.23
Pr 0.5000 0.5000 0.5000  4 Er 3.23, 4 Ru 3.23
Er 0.2500 0.2500 0.2500  4 Pr 3.23, 4 Pm 3.23
Ru 0.7500 0.7500 0.7500  4 Pr 3.23, 4 Pm 3.23

ΔE_f, meV per atom: 190
Spin magnetization, μB/cell: 0.0
Volume, Å³/atom: 25.839
Final energy, eV/atom: -5.652
Space group: F-43m

Entry 8:
VASP calculation (PBE-GGA) on a relaxed structure of Ag2PW.

Lattice parameters (Å, degrees): 2.8340 2.8340 9.0215 90.00 90.00 109.17
With the nearest neighbours (Å) after each atom.
Element x y z (fractional)
Ag 0.0000 0.0000 0.0000  6 Ag 2.83-2.86, 2 W 2.90
Ag 0.5000 0.5000 0.2592  6 Ag 2.83-2.86, 2 P 3.02
P 0.0000 0.0000 0.5397  2 W 2.41
W 0.5000 0.5000 0.7345  2 P 2.41

ΔE_f, meV per atom: 305
Spin magnetization, μB/cell: 0.0
Volume, Å³/atom: 17.110
Final energy, eV/atom: -5.711
Space group: Cmm2